(1)
# MgSbW2 | Alexandria via LeMat-Bulk | PBE | optimized geometry
data_MgSbW2
_space_group_name_H-M_alt 'C m m m'
_space_group_IT_number 65
_space_group_name_Hall '-C 2 2'
_cell_length_a 3.394
_cell_length_b 4.745
_cell_length_c 9.109
_cell_angle_alpha 90.00
_cell_angle_beta 90.00
_cell_angle_gamma 90.00
loop_
_atom_site_label
_atom_site_type_symbol
_atom_site_fract_x
_atom_site_fract_y
_atom_site_fract_z
Mg1 Mg 0.000 0.000 0.000
Sb1 Sb 0.000 0.000 0.500
W1 W 0.000 0.500 0.256
# Spin magnetization = 0.00 μB per atom
# Formation energy (no corrections) = 782 meV per atom
# Raw total energy = -7.123 eV per atom

(2)
# Mg2SbW | Alexandria via LeMat-Bulk | PBE | optimized geometry
data_Mg2SbW
_space_group_name_H-M_alt 'P 4/m m m'
_space_group_IT_number 123
_space_group_name_Hall '-P 4 2'
_cell_length_a 4.263
_cell_length_b 4.263
_cell_length_c 4.173
_cell_angle_alpha 90.00
_cell_angle_beta 90.00
_cell_angle_gamma 90.00
loop_
_atom_site_label
_atom_site_type_symbol
_atom_site_fract_x
_atom_site_fract_y
_atom_site_fract_z
Mg1 Mg 0.000 0.500 0.000
Sb1 Sb 0.000 0.000 0.500
W1 W 0.500 0.500 0.500
# Spin magnetization = 0.10 μB per atom
# Formation energy (no corrections) = 448 meV per atom
# Raw total energy = -4.618 eV per atom

(3)
# Mg3SbW | Alexandria via LeMat-Bulk | PBE | optimized geometry
data_Mg3SbW
_space_group_name_H-M_alt 'P m -3 m'
_space_group_IT_number 221
_space_group_name_Hall '-P 4 2 3'
_cell_length_a 5.274
_cell_length_b 5.274
_cell_length_c 5.274
_cell_angle_alpha 90.00
_cell_angle_beta 90.00
_cell_angle_gamma 90.00
loop_
_atom_site_label
_atom_site_type_symbol
_atom_site_fract_x
_atom_site_fract_y
_atom_site_fract_z
Mg1 Mg 0.000 0.000 0.500
Sb1 Sb 0.000 0.000 0.000
W1 W 0.500 0.500 0.500
# Spin magnetization = 0.72 μB per atom
# Formation energy (no corrections) = 1351 meV per atom
# Raw total energy = -3.021 eV per atom

(4)
# Mg2SbW2 | Alexandria via LeMat-Bulk | PBE | optimized geometry
data_Mg2SbW2
_space_group_name_H-M_alt 'I 4/m m m'
_space_group_IT_number 139
_space_group_name_Hall '-I 4 2'
_cell_length_a 3.699
_cell_length_b 3.699
_cell_length_c 14.457
_cell_angle_alpha 90.00
_cell_angle_beta 90.00
_cell_angle_gamma 90.00
loop_
_atom_site_label
_atom_site_type_symbol
_atom_site_fract_x
_atom_site_fract_y
_atom_site_fract_z
Mg1 Mg 0.000 0.500 0.250
Sb1 Sb 0.000 0.000 0.000
W1 W 0.000 0.000 0.413
# Spin magnetization = 0.00 μB per atom
# Formation energy (no corrections) = 927 meV per atom
# Raw total energy = -5.717 eV per atom

(5)
# Mg2SbW2 | Alexandria via LeMat-Bulk | PBE | optimized geometry
data_Mg2SbW2
_space_group_name_H-M_alt 'P 4/m b m'
_space_group_IT_number 127
_space_group_name_Hall '-P 4 2ab'
_cell_length_a 7.001
_cell_length_b 7.001
_cell_length_c 3.606
_cell_angle_alpha 90.00
_cell_angle_beta 90.00
_cell_angle_gamma 90.00
loop_
_atom_site_label
_atom_site_type_symbol
_atom_site_fract_x
_atom_site_fract_y
_atom_site_fract_z
Mg1 Mg 0.126 0.374 0.000
Sb1 Sb 0.000 0.000 0.000
W1 W 0.174 0.674 0.500
# Spin magnetization = 0.00 μB per atom
# Formation energy (no corrections) = 1029 meV per atom
# Raw total energy = -5.615 eV per atom

(6)
# MgSbW2 | Alexandria via LeMat-Bulk | PBE | optimized geometry
data_MgSbW2
_space_group_name_H-M_alt 'P 4/m m m'
_space_group_IT_number 123
_space_group_name_Hall '-P 4 2'
_cell_length_a 2.856
_cell_length_b 2.856
_cell_length_c 9.062
_cell_angle_alpha 90.00
_cell_angle_beta 90.00
_cell_angle_gamma 90.00
loop_
_atom_site_label
_atom_site_type_symbol
_atom_site_fract_x
_atom_site_fract_y
_atom_site_fract_z
Mg1 Mg 0.000 0.000 0.000
Sb1 Sb 0.000 0.000 0.500
W1 W 0.500 0.500 0.247
# Spin magnetization = 0.00 μB per atom
# Formation energy (no corrections) = 895 meV per atom
# Raw total energy = -7.011 eV per atom

(7)
# MgSbW2 | Alexandria via LeMat-Bulk | PBE | optimized geometry
data_MgSbW2
_space_group_name_H-M_alt 'C m m 2'
_space_group_IT_number 35
_space_group_name_Hall 'C 2 -2'
_cell_length_a 3.283
_cell_length_b 4.930
_cell_length_c 9.685
_cell_angle_alpha 90.00
_cell_angle_beta 90.00
_cell_angle_gamma 90.00
loop_
_atom_site_label
_atom_site_type_symbol
_atom_site_fract_x
_atom_site_fract_y
_atom_site_fract_z
Mg1 Mg 0.000 0.000 0.000
Sb1 Sb 0.000 0.500 0.301
W1 W 0.000 0.000 0.552
W2 W 0.000 0.500 0.760
# Spin magnetization = 0.00 μB per atom
# Formation energy (no corrections) = 431 meV per atom
# Raw total energy = -7.475 eV per atom

(8)
# Mg3SbW | Alexandria via LeMat-Bulk | PBE | optimized geometry
data_Mg3SbW
_space_group_name_H-M_alt 'P m -3 m'
_space_group_IT_number 221
_space_group_name_Hall '-P 4 2 3'
_cell_length_a 5.225
_cell_length_b 5.225
_cell_length_c 5.225
_cell_angle_alpha 90.00
_cell_angle_beta 90.00
_cell_angle_gamma 90.00
loop_
_atom_site_label
_atom_site_type_symbol
_atom_site_fract_x
_atom_site_fract_y
_atom_site_fract_z
Mg1 Mg 0.000 0.000 0.500
Sb1 Sb 0.500 0.500 0.500
W1 W 0.000 0.000 0.000
# Spin magnetization = 0.32 μB per atom
# Formation energy (no corrections) = 1219 meV per atom
# Raw total energy = -3.153 eV per atom

(9)
# Mg2SbW | Alexandria via LeMat-Bulk | PBE | optimized geometry
data_Mg2SbW
_space_group_name_H-M_alt 'C m m 2'
_space_group_IT_number 35
_space_group_name_Hall 'C 2 -2'
_cell_length_a 3.616
_cell_length_b 4.886
_cell_length_c 9.539
_cell_angle_alpha 90.00
_cell_angle_beta 90.00
_cell_angle_gamma 90.00
loop_
_atom_site_label
_atom_site_type_symbol
_atom_site_fract_x
_atom_site_fract_y
_atom_site_fract_z
Mg1 Mg 0.000 0.000 0.000
Mg2 Mg 0.000 0.500 0.261
Sb1 Sb 0.000 0.000 0.552
W1 W 0.000 0.500 0.772
# Spin magnetization = 0.00 μB per atom
# Formation energy (no corrections) = 416 meV per atom
# Raw total energy = -4.650 eV per atom

(10)
# MgSbW2 | Alexandria via LeMat-Bulk | PBE | optimized geometry
data_MgSbW2
_space_group_name_H-M_alt 'I -4 2 d'
_space_group_IT_number 122
_space_group_name_Hall 'I -4 2bw'
_cell_length_a 3.939
_cell_length_b 3.939
_cell_length_c 20.003
_cell_angle_alpha 90.00
_cell_angle_beta 90.00
_cell_angle_gamma 90.00
loop_
_atom_site_label
_atom_site_type_symbol
_atom_site_fract_x
_atom_site_fract_y
_atom_site_fract_z
Mg1 Mg 0.000 0.000 0.000
Sb1 Sb 0.000 0.000 0.500
W1 W 0.220 0.250 0.125
# Spin magnetization = 0.00 μB per atom
# Formation energy (no corrections) = 726 meV per atom
# Raw total energy = -7.180 eV per atom

(11)
# Mg2SbW | Alexandria via LeMat-Bulk | PBE | optimized geometry
data_Mg2SbW
_space_group_name_H-M_alt 'C m m m'
_space_group_IT_number 65
_space_group_name_Hall '-C 2 2'
_cell_length_a 3.876
_cell_length_b 4.525
_cell_length_c 9.256
_cell_angle_alpha 90.00
_cell_angle_beta 90.00
_cell_angle_gamma 90.00
loop_
_atom_site_label
_atom_site_type_symbol
_atom_site_fract_x
_atom_site_fract_y
_atom_site_fract_z
Mg1 Mg 0.000 0.000 0.226
Sb1 Sb 0.000 0.500 0.500
W1 W 0.000 0.500 0.000
# Spin magnetization = 0.00 μB per atom
# Formation energy (no corrections) = 314 meV per atom
# Raw total energy = -4.752 eV per atom

(12)
# MgSbW2 | Alexandria via LeMat-Bulk | PBE | optimized geometry
data_MgSbW2
_space_group_name_H-M_alt 'F m -3 m'
_space_group_IT_number 225
_space_group_name_Hall '-F 4 2 3'
_cell_length_a 6.547
_cell_length_b 6.547
_cell_length_c 6.547
_cell_angle_alpha 90.00
_cell_angle_beta 90.00
_cell_angle_gamma 90.00
loop_
_atom_site_label
_atom_site_type_symbol
_atom_site_fract_x
_atom_site_fract_y
_atom_site_fract_z
Mg1 Mg 0.000 0.000 0.000
Sb1 Sb 0.000 0.000 0.500
W1 W 0.250 0.250 0.250
# Spin magnetization = 0.00 μB per atom
# Formation energy (no corrections) = 858 meV per atom
# Raw total energy = -7.048 eV per atom

(13)
# MgSbW2 | Alexandria via LeMat-Bulk | PBE | optimized geometry
data_MgSbW2
_space_group_name_H-M_alt 'P 1 2/m 1'
_space_group_IT_number 10
_space_group_name_Hall '-P 2y'
_cell_length_a 2.893
_cell_length_b 4.731
_cell_length_c 5.385
_cell_angle_alpha 90.00
_cell_angle_beta 94.56
_cell_angle_gamma 90.00
loop_
_atom_site_label
_atom_site_type_symbol
_atom_site_fract_x
_atom_site_fract_y
_atom_site_fract_z
Mg1 Mg 0.000 0.000 0.000
Sb1 Sb 0.500 0.000 0.500
W1 W 0.336 0.500 0.772
# Spin magnetization = 0.00 μB per atom
# Formation energy (no corrections) = 563 meV per atom
# Raw total energy = -7.342 eV per atom

(14)
# MgSbW2 | Alexandria via LeMat-Bulk | PBE | optimized geometry
data_MgSbW2
_space_group_name_H-M_alt 'P 4/m m m'
_space_group_IT_number 123
_space_group_name_Hall '-P 4 2'
_cell_length_a 3.975
_cell_length_b 3.975
_cell_length_c 4.491
_cell_angle_alpha 90.00
_cell_angle_beta 90.00
_cell_angle_gamma 90.00
loop_
_atom_site_label
_atom_site_type_symbol
_atom_site_fract_x
_atom_site_fract_y
_atom_site_fract_z
Mg1 Mg 0.000 0.000 0.000
Sb1 Sb 0.500 0.500 0.000
W1 W 0.000 0.500 0.500
# Spin magnetization = 0.00 μB per atom
# Formation energy (no corrections) = 606 meV per atom
# Raw total energy = -7.300 eV per atom